The following is a DFT calculation (PBE) of an optimized crystal structure of LaS2O.

Cell: 3.6056 3.6056 23.5876 Å, 90.00 90.00 90.00°
Last column: nearest neighbours and their distance in Å.
Space group I-42d (No. 122)
Symmetry-distinct sites (fractional):
La 0.0000 0.0000 0.0000  4 O 2.55
S 0.1590 0.2500 0.6250  2 S 2.14
O 0.0000 0.0000 0.5000  4 La 2.55

Calculated values
Total magnetic moment, μB per formula unit: 0.00
Uncorrected formation energy, kcal/mol of atoms: -32.47
Calculated volume, A^3/atom: 19.166
Crystal system: tetragonal